A PBEsol-optimized structure of K4CaPt. Source: Alexandria, functional SCAN.

POSCAR file:
```
K4CaPt
1.0
6.920 0.000 0.000
3.460 5.993 0.000
3.460 1.998 5.650
K Ca Pt
4 1 1
Direct
0.378 0.866 0.378 K
0.378 0.378 0.378 K
0.378 0.378 0.866 K
0.866 0.378 0.378 K
0.000 0.000 0.000 Ca
0.750 0.750 0.750 Pt
```

Values from the calculation:
total energy = -109.8 eV per cell
formation energy = 3.4 eV per formula unit

***

A PBEsol-optimized structure of KCa3Pt. Source: Alexandria, functional SCAN.

POSCAR file:
```
KCa3Pt
1.0
-1.569 -5.017 -2.166
3.350 0.897 -4.505
4.318 -2.519 2.709
Ca K Pt
3 1 1
Direct
0.000 0.000 0.500 Ca
0.000 0.500 0.000 Ca
0.500 0.000 0.000 Ca
0.500 0.500 0.500 K
0.000 0.000 0.000 Pt
```

Values from the calculation:
total energy = -110.0 eV per cell
formation energy = -2.5 eV per formula unit

***

A PBEsol-optimized structure of K2CaRe. Source: Alexandria, functional SCAN.

POSCAR file:
```
K2CaRe
1.0
5.602 -0.013 -0.019
-2.786 4.860 0.019
-2.786 -1.623 4.581
Ca K Re
1 2 1
Direct
0.500 0.750 0.250 Ca
0.500 0.250 0.750 K
0.000 0.000 0.000 K
0.000 0.500 0.500 Re
```

Values from the calculation:
total energy = -92.0 eV per cell
polymorph energy (0 for the lowest one) = 245 meV/atom
formation energy = 5.4 eV per formula unit

***

A PBEsol-optimized structure of K2CaRe. Source: Alexandria, functional SCAN.

POSCAR file:
```
K2CaRe
1.0
3.137 0.000 0.000
0.000 3.137 0.000
0.000 0.000 12.642
K Re Ca
2 1 1
Direct
0.000 0.000 0.983 K
0.500 0.500 0.315 K
0.000 0.000 0.521 Re
0.500 0.500 0.681 Ca
```

Values from the calculation:
total energy = -93.0 eV per cell
polymorph energy (0 for the lowest one) = 0 meV/atom
formation energy = 4.4 eV per formula unit

***

A PBEsol-optimized structure of KCaRe2. Source: Alexandria, functional SCAN.

POSCAR file:
```
KCaRe2
1.0
-0.233 0.901 3.157
3.038 -2.716 0.999
2.291 4.738 -2.898
Re Ca K
2 1 1
Direct
0.246 0.246 0.493 Re
0.754 0.754 0.507 Re
0.500 0.000 0.000 Ca
0.000 0.500 0.000 K
```

Values from the calculation:
total energy = -155.5 eV per cell
polymorph energy (0 for the lowest one) = 0 meV/atom
formation energy = 4.7 eV per formula unit

***

A PBEsol-optimized structure of KCaRe2. Source: Alexandria, functional SCAN.

POSCAR file:
```
KCaRe2
1.0
3.370 0.000 0.000
0.000 4.110 0.000
0.000 0.000 5.378
Ca Re K
1 2 1
Direct
0.500 0.000 0.500 Ca
0.500 0.500 0.000 Re
0.000 0.000 0.000 Re
0.000 0.500 0.500 K
```

Values from the calculation:
total energy = -155.5 eV per cell
polymorph energy (0 for the lowest one) = 5 meV/atom
formation energy = 4.7 eV per formula unit

***

A PBEsol-optimized structure of K2CaRe. Source: Alexandria, functional SCAN.

POSCAR file:
```
K2CaRe
1.0
-1.061 0.772 2.599
-0.785 -5.644 1.286
5.759 -0.249 2.424
Ca Re K
1 1 2
Direct
0.500 0.000 0.500 Ca
0.000 0.500 0.500 Re
0.317 0.270 0.000 K
0.683 0.730 0.000 K
```

Values from the calculation:
total energy = -92.1 eV per cell
polymorph energy (0 for the lowest one) = 217 meV/atom
formation energy = 5.3 eV per formula unit

***

A PBEsol-optimized structure of K2CaRe. Source: Alexandria, functional SCAN.

POSCAR file:
```
K2CaRe
1.0
4.583 0.000 0.000
0.000 4.583 0.000
0.000 0.000 6.074
Re K Ca
1 2 1
Direct
0.500 0.500 0.500 Re
0.000 0.500 0.000 K
0.500 0.000 0.000 K
0.000 0.000 0.500 Ca
```

Values from the calculation:
total energy = -91.8 eV per cell
polymorph energy (0 for the lowest one) = 313 meV/atom
formation energy = 5.7 eV per formula unit

***

A PBEsol-optimized structure of K2CaRe. Source: Alexandria, functional SCAN.

POSCAR file:
```
K2CaRe
1.0
-2.032 -1.999 0.697
-0.004 -0.963 -2.773
9.357 -8.488 2.934
Re K Ca
1 2 1
Direct
0.500 0.500 0.000 Re
0.000 0.000 0.208 K
0.000 0.000 0.792 K
0.500 0.500 0.500 Ca
```

Values from the calculation:
total energy = -92.0 eV per cell
polymorph energy (0 for the lowest one) = 250 meV/atom
formation energy = 5.4 eV per formula unit

***

A PBEsol-optimized structure of K2CaRe. Source: Alexandria, functional SCAN.

POSCAR file:
```
K2CaRe
1.0
2.926 -0.006 0.000
-0.150 5.755 0.000
-1.388 -2.875 6.365
K Ca Re
2 1 1
Direct
0.500 0.500 0.500 K
0.000 0.000 0.500 K
0.000 0.500 0.000 Ca
0.500 0.000 0.000 Re
```

Values from the calculation:
total energy = -92.0 eV per cell
polymorph energy (0 for the lowest one) = 240 meV/atom
formation energy = 5.4 eV per formula unit

***

A PBEsol-optimized structure of KCa3Rh. Source: Alexandria, functional SCAN.

POSCAR file:
```
KCa3Rh
1.0
4.098 0.000 0.000
0.000 9.063 0.006
0.000 -1.034 10.118
K Ca Rh
2 6 2
Direct
0.250 0.733 0.052 K
0.750 0.267 0.948 K
0.750 0.552 0.376 Ca
0.750 0.919 0.380 Ca
0.250 0.448 0.624 Ca
0.750 0.774 0.697 Ca
0.250 0.081 0.620 Ca
0.250 0.226 0.303 Ca
0.750 0.249 0.492 Rh
0.250 0.751 0.508 Rh
```

Values from the calculation:
total energy = -144.2 eV per cell
polymorph energy (0 for the lowest one) = 0 meV/atom
formation energy = -1.0 eV per formula unit

***

A PBEsol-optimized structure of KCa3Rh. Source: Alexandria, functional SCAN.

POSCAR file:
```
KCa3Rh
1.0
-4.901 0.134 -2.739
-2.017 -3.976 3.415
-1.858 3.963 3.518
Rh K Ca
1 1 3
Direct
0.000 0.000 0.000 Rh
0.500 0.500 0.500 K
0.000 0.500 0.000 Ca
0.500 0.000 0.000 Ca
0.000 0.000 0.500 Ca
```

Values from the calculation:
total energy = -72.0 eV per cell
polymorph energy (0 for the lowest one) = 12 meV/atom
formation energy = -0.9 eV per formula unit

***

A PBEsol-optimized structure of KCa2Rh. Source: Alexandria, functional SCAN.

POSCAR file:
```
KCa2Rh
1.0
3.909 0.000 0.000
0.000 6.236 0.000
-1.955 -3.118 5.372
K Ca Rh
1 2 1
Direct
0.500 0.000 0.000 K
0.326 0.326 0.652 Ca
0.674 0.674 0.348 Ca
0.000 0.500 0.000 Rh
```

Values from the calculation:
total energy = -61.2 eV per cell
formation energy = 0.3 eV per formula unit

***

A PBEsol-optimized structure of K2CaRh. Source: Alexandria, functional SCAN.

POSCAR file:
```
K2CaRh
1.0
-1.840 3.872 -1.301
-2.987 -0.303 3.325
6.005 1.093 2.476
Rh K Ca
1 2 1
Direct
0.500 0.500 0.000 Rh
0.250 0.750 0.500 K
0.750 0.250 0.500 K
0.000 0.000 0.000 Ca
```

Values from the calculation:
total energy = -58.1 eV per cell
formation energy = 1.9 eV per formula unit

***

A PBEsol-optimized structure of K2CaRh. Source: Alexandria, functional SCAN.

POSCAR file:
```
K2CaRh
1.0
-3.745 0.125 0.644
-0.462 -5.587 -1.599
1.091 1.202 6.111
Rh K Ca
1 2 1
Direct
0.500 0.000 0.000 Rh
0.000 0.000 0.500 K
0.000 0.500 0.500 K
0.500 0.500 0.000 Ca
```

Values from the calculation:
total energy = -57.4 eV per cell
formation energy = 2.7 eV per formula unit

***

A PBEsol-optimized structure of K2CaRh. Source: Alexandria, functional SCAN.

POSCAR file:
```
K2CaRh
1.0
-2.671 1.699 1.218
-0.780 -2.643 1.977
6.694 4.407 8.530
K Rh Ca
2 1 1
Direct
0.000 0.000 0.822 K
0.000 0.000 0.178 K
0.500 0.500 0.000 Rh
0.500 0.500 0.500 Ca
```

Values from the calculation:
total energy = -57.4 eV per cell
formation energy = 2.7 eV per formula unit

***

A PBEsol-optimized structure of K2CaRh. Source: Alexandria, functional SCAN.

POSCAR file:
```
K2CaRh
1.0
-2.631 4.689 -1.148
-3.185 2.367 3.804
1.586 4.696 2.379
K Rh Ca
2 1 1
Direct
0.750 0.750 0.750 K
0.250 0.250 0.250 K
0.500 0.500 0.500 Rh
0.000 0.000 0.000 Ca
```

Values from the calculation:
total energy = -57.3 eV per cell
formation energy = 2.8 eV per formula unit

***

A PBEsol-optimized structure of KCa2Ru. Source: Alexandria, functional SCAN.

POSCAR file:
```
KCa2Ru
1.0
5.292 0.000 0.000
2.646 4.583 0.000
2.646 1.528 4.321
Ru K Ca
1 1 2
Direct
0.250 0.250 0.250 Ru
0.500 0.500 0.500 K
0.750 0.750 0.750 Ca
0.000 0.000 0.000 Ca
```

Values from the calculation:
total energy = -59.2 eV per cell
polymorph energy (0 for the lowest one) = 387 meV/atom
formation energy = 3.3 eV per formula unit

***

A PBEsol-optimized structure of KCaRu2. Source: Alexandria, functional SCAN.

POSCAR file:
```
KCaRu2
1.0
3.961 0.000 0.000
1.981 5.173 -0.047
1.981 1.949 5.989
Ru K Ca
2 1 1
Direct
0.755 0.075 0.415 Ru
0.245 0.925 0.585 Ru
0.500 0.000 0.000 K
0.000 0.500 0.500 Ca
```

Values from the calculation:
total energy = -85.0 eV per cell
polymorph energy (0 for the lowest one) = 213 meV/atom
formation energy = 2.7 eV per formula unit

***

A PBEsol-optimized structure of KCa3Ru. Source: Alexandria, functional SCAN.

POSCAR file:
```
KCa3Ru
1.0
-3.841 4.057 0.088
-3.947 -3.707 -1.380
-0.943 -1.011 5.414
Ca K Ru
3 1 1
Direct
0.000 0.000 0.500 Ca
0.000 0.500 0.000 Ca
0.500 0.000 0.000 Ca
0.500 0.500 0.500 K
0.000 0.000 0.000 Ru
```

Values from the calculation:
total energy = -71.2 eV per cell
formation energy = 0.9 eV per formula unit